Here is a geometry-optimized Pr6CdRh2 structure from Alexandria via LeMat-Bulk. Energies are from PBE.

Summary:
ΔE_f = -339 meV/atom
energy relative to the lowest polymorph listed for this composition = 0.0769 eV per atom

Geometry as CIF:
```
data_Pr6CdRh2
_chemical_formula_sum 'Pr12 Cd2 Rh4'
_cell_length_a 10.513
_cell_length_b 5.257
_cell_length_c 9.404
_cell_angle_alpha 90.00
_cell_angle_beta 101.19
_cell_angle_gamma 90.00
_space_group_name_H-M_alt 'C 1 2/m 1'
_space_group_IT_number 12
loop_
_space_group_symop_operation_xyz
'x,y,z'
'-x,-y,-z'
'-x,y,-z'
'x,-y,z'
'x+1/2,y+1/2,z'
'-x+1/2,-y+1/2,-z'
'-x+1/2,y+1/2,-z'
'x+1/2,-y+1/2,z'
loop_
_atom_site_label
_atom_site_fract_x
_atom_site_fract_y
_atom_site_fract_z
Pr1 0.037 0.000 0.347
Pr2 0.160 0.500 0.890
Pr3 0.207 0.500 0.332
Cd1 0.000 0.000 0.000
Rh1 0.122 0.500 0.598
```